(1)
Cs2MnTe3 | PBE-GGA | optimized geometry

a b c (Å): 6.7848 8.9024 8.9024
angles (deg): 71.21 90.00 90.00
Fractional coordinates of all 12 atoms:
Cs  0.7502  0.4849  0.8059
Cs  0.2502  0.8059  0.4849
Cs  0.7498  0.1941  0.5151
Cs  0.2498  0.5151  0.1941
Te  0.4999  0.8695  0.8696
Te  0.5001  0.1305  0.1304
Te  0.7500  0.6666  0.3334
Te  0.0001  0.1304  0.1305
Te  0.2500  0.3334  0.6666
Te  0.9999  0.8696  0.8695
Mn  0.7500  0.9202  0.0798
Mn  0.2500  0.0798  0.9202

Properties
- raw total energy (eV/atom) = -4.04
- DOS(E_F) (states/eV/cell) = 4.430
- ΔE_f (raw) (eV per atom) = -0.659
- mass density (kg/m³) = 4590
- symmetry = Cmcm, No. 63

(2)
Cs3MnTe3 | PBE-GGA | optimized geometry

a b c (Å): 7.8885 11.9797 15.2393
angles (deg): 90.00 90.00 109.22
Fractional coordinates of all 28 atoms:
Te  0.5075  0.6974  0.3888
Te  0.1820  0.0000  0.9137
Te  0.3100  0.3026  0.1112
Te  0.1900  0.6974  0.6112
Te  0.9925  0.3026  0.8888
Te  0.8100  0.3026  0.3888
Te  0.6900  0.6974  0.8888
Te  0.3180  0.0000  0.4137
Te  0.6820  0.0000  0.5863
Te  0.0075  0.6974  0.1112
Te  0.4925  0.3026  0.6112
Te  0.8180  0.0000  0.0863
Cs  0.9892  0.6484  0.3707
Cs  0.8408  0.3516  0.1293
Cs  0.1592  0.6484  0.8707
Cs  0.8407  0.0000  0.3410
Cs  0.3407  0.0000  0.1590
Cs  0.0108  0.3516  0.6293
Cs  0.6592  0.6484  0.6293
Cs  0.5108  0.3516  0.8707
Cs  0.4892  0.6484  0.1293
Cs  0.1593  0.0000  0.6590
Cs  0.6593  0.0000  0.8410
Cs  0.3408  0.3516  0.3707
Mn  0.4180  0.8360  0.5000
Mn  0.0820  0.1640  0.0000
Mn  0.9180  0.8360  0.0000
Mn  0.5820  0.1640  0.5000

Properties
- raw total energy (eV/atom) = -3.81
- DOS(E_F) (states/eV/cell) = 19.875
- ΔE_f (raw) (eV per atom) = -0.791
- mass density (kg/m³) = 4086
- symmetry = Cmce, No. 64

(3)
CsThMnTe4 | PBE-GGA | optimized geometry

a b c (Å): 7.8102 6.5218 10.8644
angles (deg): 90.00 106.76 90.00
Fractional coordinates of all 14 atoms:
Mn  0.2651  0.7500  0.3352
Mn  0.7349  0.2500  0.6648
Cs  0.7632  0.7500  0.9517
Cs  0.2368  0.2500  0.0483
Te  0.9867  0.0082  0.3049
Te  0.4613  0.7500  0.1751
Te  0.0133  0.5082  0.6951
Te  0.4283  0.7500  0.5871
Te  0.5717  0.2500  0.4129
Te  0.0133  0.9918  0.6951
Te  0.9867  0.4918  0.3049
Te  0.5387  0.2500  0.8249
Th  0.2628  0.2500  0.5534
Th  0.7372  0.7500  0.4466

Properties
- raw total energy (eV/atom) = -5.14
- DOS(E_F) (states/eV/cell) = 2.581
- ΔE_f (raw) (eV per atom) = -0.849
- mass density (kg/m³) = 5831
- symmetry = P2_1/m, No. 11

> Which of these has the highest mass density?

CsThMnTe4